Crystalline HoGe2Pd3 at its relaxed geometry. Source: Alexandria, functional PBE.

The value obtained for the volume is 17.80 Å³ per atom. For the uncorrected energy, the calculation gives -0.4169 Ry/atom. For the magnetic moment, the calculation gives 0.00 μB per formula unit. Its energy of formation is -0.77 eV/atom.

It has space group C2/m (No. 12), with a = 16.7868 Å, b = 4.0322 Å, c = 9.9689 Å, α = 90.00°, β = 108.29° and γ = 90.00°. The inequivalent atoms are Ho at (0.0000, 0.0000, 0.0000), Ho at (0.1541, 0.0000, 0.6965), Ge at (0.0410, 0.5000, 0.7842), Ge at (0.1370, 0.5000, 0.4552), Ge at (0.1970, 0.0000, 0.1308), Pd at (0.0000, 0.5000, 0.5000), Pd at (0.0399, 0.0000, 0.3295), Pd at (0.1172, 0.5000, 0.1934), Pd at (0.1816, 0.5000, 0.9626) and Pd at (0.2183, 0.0000, 0.3912).

Crystalline SrVCo2B at its relaxed geometry. Source: Alexandria, functional PBE.

The value obtained for the volume is 14.15 Å³ per atom. For the uncorrected energy, the calculation gives -0.4314 Ry/atom. For the magnetic moment, the calculation gives 0.00 μB per formula unit. Its energy of formation is 0.47 eV/atom.

It has space group P4/mmm (No. 123), with a = 4.0738 Å, b = 4.0738 Å, c = 4.2632 Å, α = 90.00°, β = 90.00° and γ = 90.00°. The inequivalent atoms are Sr at (0.0000, 0.0000, 0.0000), V at (0.5000, 0.5000, 0.0000), Co at (0.0000, 0.5000, 0.5000) and B at (0.5000, 0.5000, 0.5000).

Crystalline ScOs3Pb at its relaxed geometry. Source: Alexandria, functional PBE.

The value obtained for the volume is 23.59 Å³ per atom. For the uncorrected energy, the calculation gives -0.4648 Ry/atom. The value obtained for the energy relative to the lowest polymorph listed for this composition is 316.9 meV/atom. For the magnetic moment, the calculation gives 0.00 μB per formula unit. Its energy of formation is 2.42 eV/atom.

It has space group Pm-3m (No. 221), with a = 4.9041 Å, b = 4.9041 Å, c = 4.9041 Å, α = 90.00°, β = 90.00° and γ = 90.00°. The inequivalent atoms are Sc at (0.0000, 0.0000, 0.0000), Os at (0.0000, 0.5000, 0.5000) and Pb at (0.5000, 0.5000, 0.5000).

Crystalline SrHgPd at its relaxed geometry. Source: Alexandria, functional PBE.

The value obtained for the volume is 28.25 Å³ per atom. For the uncorrected energy, the calculation gives -0.2124 Ry/atom. For the magnetic moment, the calculation gives 0.00 μB per formula unit. Its energy of formation is -0.50 eV/atom.

It has space group F-43m (No. 216), with a = 6.9724 Å, b = 6.9724 Å, c = 6.9724 Å, α = 90.00°, β = 90.00° and γ = 90.00°. The inequivalent atoms are Sr at (0.0000, 0.0000, 0.0000), Hg at (0.0000, 0.0000, 0.5000) and Pd at (0.2500, 0.2500, 0.2500).